Entry 1:
Density functional theory data (PBE) for a relaxed Tb2Hg2Pd3 crystal.

The formation energy comes out at -0.67 eV/atom. As for the volume: 21.17 A^3/atom. As for the space-group type: C2/m.

a = 5.3872 Å, b = 5.3872 Å, c = 7.3116 Å
α = 104.69°, β = 104.69°, γ = 46.60°
Element x y z (fractional)
Tb (0.1258, 0.1258, 0.2968)
Tb (0.8742, 0.8742, 0.7032)
Hg (0.3758, 0.3758, 0.0713)
Hg (0.6242, 0.6242, 0.9287)
Pd (0.1707, 0.1707, 0.6987)
Pd (0.5000, 0.5000, 0.5000)
Pd (0.8293, 0.8293, 0.3013)

***

Entry 2:
Density functional theory data (PBE) for a relaxed Tb6HgPd crystal.

The formation energy comes out at -0.07 eV/atom. As for the volume: 32.67 A^3/atom. As for the space-group type: P-1.

a = 7.0182 Å, b = 7.0300 Å, c = 7.3015 Å
α = 90.38°, β = 118.33°, γ = 119.68°
Element x y z (fractional)
Tb (0.0257, 0.0717, 0.2524)
Tb (0.2961, 0.7249, 0.2511)
Tb (0.3149, 0.5423, 0.7484)
Tb (0.6851, 0.4577, 0.2516)
Tb (0.7039, 0.2751, 0.7489)
Tb (0.9743, 0.9283, 0.7476)
Hg (0.5000, 0.0000, 0.0000)
Pd (0.5000, 0.5000, 0.5000)

***

Entry 3:
Density functional theory data (PBE) for a relaxed Tb6HgPd5 crystal.

The formation energy comes out at -0.79 eV/atom. As for the volume: 22.56 A^3/atom. As for the space-group type: P2/m.

a = 5.0378 Å, b = 7.1407 Å, c = 7.9295 Å
α = 90.00°, β = 108.34°, γ = 90.00°
Element x y z (fractional)
Tb (0.0000, 0.2405, 0.0000)
Tb (0.0000, 0.7595, 0.0000)
Tb (0.3290, 0.2465, 0.6589)
Tb (0.3290, 0.7535, 0.6589)
Tb (0.6710, 0.2465, 0.3411)
Tb (0.6710, 0.7535, 0.3411)
Hg (0.5000, 0.5000, 0.0000)
Pd (0.1646, 0.5000, 0.3279)
Pd (0.1667, 0.0000, 0.3310)
Pd (0.5000, 0.0000, 0.0000)
Pd (0.8333, 0.0000, 0.6690)
Pd (0.8354, 0.5000, 0.6721)

***

Entry 4:
Density functional theory data (PBE) for a relaxed Tb3Hg2Pd2 crystal.

The formation energy comes out at -0.69 eV/atom. As for the volume: 23.72 A^3/atom. As for the space-group type: Cmmm.

a = 11.4491 Å, b = 11.4491 Å, c = 3.6993 Å
α = 90.00°, β = 90.00°, γ = 159.98°
Element x y z (fractional)
Tb (0.0000, 0.0000, 0.0000)
Tb (0.1676, 0.8324, 0.0000)
Tb (0.8324, 0.1676, 0.0000)
Hg (0.4206, 0.5794, 0.5000)
Hg (0.5794, 0.4206, 0.5000)
Pd (0.2903, 0.7097, 0.5000)
Pd (0.7097, 0.2903, 0.5000)

***

Entry 5:
Density functional theory data (PBE) for a relaxed Tb6Hg5Pd crystal.

The formation energy comes out at -0.54 eV/atom. As for the volume: 25.28 A^3/atom. As for the space-group type: C2/m.

a = 9.0290 Å, b = 9.0290 Å, c = 5.2217 Å
α = 106.63°, β = 106.63°, γ = 48.63°
Element x y z (fractional)
Tb (0.0808, 0.5980, 0.3394)
Tb (0.2360, 0.7640, 0.0000)
Tb (0.4020, 0.9192, 0.6606)
Tb (0.5980, 0.0808, 0.3394)
Tb (0.7640, 0.2360, 0.0000)
Tb (0.9192, 0.4020, 0.6606)
Hg (0.1760, 0.1760, 0.1760)
Hg (0.3332, 0.3332, 0.8332)
Hg (0.5000, 0.5000, 0.5000)
Hg (0.6668, 0.6668, 0.1668)
Hg (0.8240, 0.8240, 0.8240)
Pd (0.0000, 0.0000, 0.5000)

***

Entry 6:
Density functional theory data (PBE) for a relaxed Tb4Hg3Pd crystal.

The formation energy comes out at -0.58 eV/atom. As for the volume: 24.95 A^3/atom. As for the space-group type: P4/mmm.

a = 3.6662 Å, b = 3.6662 Å, c = 14.8477 Å
α = 90.00°, β = 90.00°, γ = 90.00°
Element x y z (fractional)
Tb (0.0000, 0.0000, 0.1127)
Tb (0.0000, 0.0000, 0.3708)
Tb (0.0000, 0.0000, 0.6292)
Tb (0.0000, 0.0000, 0.8873)
Hg (0.5000, 0.5000, 0.2448)
Hg (0.5000, 0.5000, 0.5000)
Hg (0.5000, 0.5000, 0.7552)
Pd (0.5000, 0.5000, 0.0000)

***

Entry 7:
Density functional theory data (PBE) for a relaxed Tb6HgPd5 crystal.

The formation energy comes out at -0.68 eV/atom. As for the volume: 24.81 A^3/atom. As for the space-group type: C2/m.

a = 6.8778 Å, b = 6.8778 Å, c = 7.2474 Å
α = 98.36°, β = 98.36°, γ = 115.49°
Element x y z (fractional)
Tb (0.0433, 0.4005, 0.7205)
Tb (0.2034, 0.2034, 0.2209)
Tb (0.4005, 0.0433, 0.7205)
Tb (0.5995, 0.9567, 0.2795)
Tb (0.7966, 0.7966, 0.7791)
Tb (0.9567, 0.5995, 0.2795)
Hg (0.5000, 0.5000, 0.0000)
Pd (0.0000, 0.0000, 0.5000)
Pd (0.1901, 0.8099, 0.0000)
Pd (0.3690, 0.6310, 0.5000)
Pd (0.6310, 0.3690, 0.5000)
Pd (0.8099, 0.1901, 0.0000)

***

Entry 8:
Density functional theory data (PBE) for a relaxed Tb12HgPd6 crystal.

The formation energy comes out at -0.44 eV/atom. As for the volume: 29.18 A^3/atom. As for the space-group type: R-3.

a = 8.5056 Å, b = 8.5056 Å, c = 8.5056 Å
α = 103.48°, β = 103.48°, γ = 103.48°
Element x y z (fractional)
Tb (0.0713, 0.3302, 0.9266)
Tb (0.0734, 0.9287, 0.6698)
Tb (0.1684, 0.5551, 0.4104)
Tb (0.3302, 0.9266, 0.0713)
Tb (0.4104, 0.1684, 0.5551)
Tb (0.4449, 0.5896, 0.8316)
Tb (0.5551, 0.4104, 0.1684)
Tb (0.5896, 0.8316, 0.4449)
Tb (0.6698, 0.0734, 0.9287)
Tb (0.8316, 0.4449, 0.5896)
Tb (0.9266, 0.0713, 0.3302)
Tb (0.9287, 0.6698, 0.0734)
Hg (0.0000, 0.0000, 0.0000)
Pd (0.1453, 0.3180, 0.6185)
Pd (0.3180, 0.6185, 0.1453)
Pd (0.3815, 0.8547, 0.6820)
Pd (0.6185, 0.1453, 0.3180)
Pd (0.6820, 0.3815, 0.8547)
Pd (0.8547, 0.6820, 0.3815)

***

Entry 9:
Density functional theory data (PBE) for a relaxed Tb2HgPd4 crystal.

The formation energy comes out at -0.05 eV/atom. As for the volume: 25.23 A^3/atom. As for the space-group type: I4/mmm.

a = 7.8929 Å, b = 7.8929 Å, c = 7.8929 Å
α = 143.04°, β = 143.04°, γ = 53.26°
Element x y z (fractional)
Tb (0.1264, 0.1264, 0.0000)
Tb (0.8736, 0.8736, 0.0000)
Hg (0.5000, 0.5000, 0.0000)
Pd (0.0000, 0.5000, 0.5000)
Pd (0.3082, 0.3082, 0.0000)
Pd (0.5000, 0.0000, 0.5000)
Pd (0.6918, 0.6918, 0.0000)

***

Entry 10:
Density functional theory data (PBE) for a relaxed Tb2Hg3Pd7 crystal.

The formation energy comes out at -0.37 eV/atom. As for the volume: 20.47 A^3/atom. As for the space-group type: Cmmm.

a = 11.0590 Å, b = 11.0590 Å, c = 4.7203 Å
α = 90.00°, β = 90.00°, γ = 154.81°
Element x y z (fractional)
Tb (0.1452, 0.8548, 0.0000)
Tb (0.8548, 0.1452, 0.0000)
Hg (0.3484, 0.6516, 0.5000)
Hg (0.5000, 0.5000, 0.5000)
Hg (0.6516, 0.3484, 0.5000)
Pd (0.0000, 0.0000, 0.0000)
Pd (0.0703, 0.9297, 0.5000)
Pd (0.2823, 0.7177, 0.0000)
Pd (0.4291, 0.5709, 0.0000)
Pd (0.5709, 0.4291, 0.0000)
Pd (0.7177, 0.2823, 0.0000)
Pd (0.9297, 0.0703, 0.5000)

***

Entry 11:
Density functional theory data (PBE) for a relaxed TbHg6Pd12 crystal.

The formation energy comes out at -0.13 eV/atom. As for the volume: 18.45 A^3/atom. As for the space-group type: R-3.

a = 7.2269 Å, b = 7.2269 Å, c = 7.2269 Å
α = 101.61°, β = 101.61°, γ = 101.61°
Element x y z (fractional)
Tb (0.0000, 0.0000, 0.0000)
Hg (0.1759, 0.1784, 0.4441)
Hg (0.1784, 0.4441, 0.1759)
Hg (0.4441, 0.1759, 0.1784)
Hg (0.5559, 0.8241, 0.8216)
Hg (0.8216, 0.5559, 0.8241)
Hg (0.8241, 0.8216, 0.5559)
Pd (0.0006, 0.7437, 0.2550)
Pd (0.1814, 0.5943, 0.5926)
Pd (0.2550, 0.0006, 0.7437)
Pd (0.2563, 0.7450, 0.9994)
Pd (0.4057, 0.4074, 0.8186)
Pd (0.4074, 0.8186, 0.4057)
Pd (0.5926, 0.1814, 0.5943)
Pd (0.5943, 0.5926, 0.1814)
Pd (0.7437, 0.2550, 0.0006)
Pd (0.7450, 0.9994, 0.2563)
Pd (0.8186, 0.4057, 0.4074)
Pd (0.9994, 0.2563, 0.7450)

***

Entry 12:
Density functional theory data (PBE) for a relaxed Tb8Hg2Pd crystal.

The formation energy comes out at -0.30 eV/atom. As for the volume: 28.32 A^3/atom. As for the space-group type: C2/m.

a = 9.3303 Å, b = 9.3303 Å, c = 6.8573 Å
α = 101.23°, β = 101.23°, γ = 32.20°
Element x y z (fractional)
Tb (0.0228, 0.0228, 0.2707)
Tb (0.2024, 0.2024, 0.8170)
Tb (0.3451, 0.3451, 0.5313)
Tb (0.4107, 0.4107, 0.0514)
Tb (0.5893, 0.5893, 0.9486)
Tb (0.6549, 0.6549, 0.4687)
Tb (0.7976, 0.7976, 0.1830)
Tb (0.9772, 0.9772, 0.7293)
Hg (0.1912, 0.1912, 0.2424)
Hg (0.8088, 0.8088, 0.7576)
Pd (0.5000, 0.5000, 0.5000)

***

Entry 13:
Density functional theory data (PBE) for a relaxed TbTlHgPd crystal.

The formation energy comes out at -0.43 eV/atom. As for the volume: 22.51 A^3/atom. As for the space-group type: F-43m.

a = 5.0310 Å, b = 5.0310 Å, c = 5.0310 Å
α = 60.00°, β = 60.00°, γ = 60.00°
Element x y z (fractional)
Tb (0.0000, 0.0000, 0.0000)
Tl (0.5000, 0.5000, 0.5000)
Hg (0.7500, 0.7500, 0.7500)
Pd (0.2500, 0.2500, 0.2500)

***

Entry 14:
Density functional theory data (PBE) for a relaxed Tb4TlHg2Pd crystal.

The formation energy comes out at -0.54 eV/atom. As for the volume: 25.33 A^3/atom. As for the space-group type: R-3m.

a = 9.0392 Å, b = 9.0392 Å, c = 9.0392 Å
α = 33.70°, β = 33.70°, γ = 33.70°
Element x y z (fractional)
Tb (0.1173, 0.1173, 0.1173)
Tb (0.3694, 0.3694, 0.3694)
Tb (0.6306, 0.6306, 0.6306)
Tb (0.8827, 0.8827, 0.8827)
Tl (0.5000, 0.5000, 0.5000)
Hg (0.2450, 0.2450, 0.2450)
Hg (0.7550, 0.7550, 0.7550)
Pd (0.0000, 0.0000, 0.0000)

***

Entry 15:
Density functional theory data (PBE) for a relaxed Tb2Zn2HgPd5 crystal.

The formation energy comes out at -0.65 eV/atom. As for the volume: 18.16 A^3/atom. As for the space-group type: P4/mbm.

a = 9.7138 Å, b = 9.7138 Å, c = 3.8499 Å
α = 90.00°, β = 90.00°, γ = 90.00°
Element x y z (fractional)
Tb (0.1781, 0.3219, 0.0000)
Tb (0.3219, 0.8219, 0.0000)
Tb (0.6781, 0.1781, 0.0000)
Tb (0.8219, 0.6781, 0.0000)
Zn (0.1183, 0.6183, 0.0000)
Zn (0.3817, 0.1183, 0.0000)
Zn (0.6183, 0.8817, 0.0000)
Zn (0.8817, 0.3817, 0.0000)
Hg (0.0000, 0.0000, 0.0000)
Hg (0.5000, 0.5000, 0.0000)
Pd (0.0000, 0.5000, 0.5000)
Pd (0.0703, 0.7920, 0.5000)
Pd (0.2080, 0.0703, 0.5000)
Pd (0.2920, 0.5703, 0.5000)
Pd (0.4297, 0.2920, 0.5000)
Pd (0.5000, 0.0000, 0.5000)
Pd (0.5703, 0.7080, 0.5000)
Pd (0.7080, 0.4297, 0.5000)
Pd (0.7920, 0.9297, 0.5000)
Pd (0.9297, 0.2080, 0.5000)

***

Entry 16:
Density functional theory data (PBE) for a relaxed Tc2HgPd crystal.

The formation energy comes out at 0.96 eV/atom. As for the volume: 17.91 A^3/atom. As for the space-group type: I-42d.

a = 5.8597 Å, b = 5.8597 Å, c = 5.8597 Å
α = 101.31°, β = 101.31°, γ = 127.42°
Element x y z (fractional)
Tc (0.1073, 0.6250, 0.9823)
Tc (0.3750, 0.3573, 0.4823)
Tc (0.6427, 0.1250, 0.0177)
Tc (0.8750, 0.8927, 0.5177)
Hg (0.2500, 0.7500, 0.5000)
Hg (0.5000, 0.5000, 0.0000)
Pd (0.0000, 0.0000, 0.0000)
Pd (0.7500, 0.2500, 0.5000)

***

Entry 17:
Density functional theory data (PBE) for a relaxed TcHgPd2 crystal.

The formation energy comes out at 0.61 eV/atom. As for the volume: 18.61 A^3/atom. As for the space-group type: I-42d.

a = 5.8718 Å, b = 5.8718 Å, c = 5.8718 Å
α = 103.03°, β = 103.03°, γ = 123.30°
Element x y z (fractional)
Tc (0.0000, 0.0000, 0.0000)
Tc (0.7500, 0.2500, 0.5000)
Hg (0.2500, 0.7500, 0.5000)
Hg (0.5000, 0.5000, 0.0000)
Pd (0.1049, 0.6250, 0.9799)
Pd (0.3750, 0.3549, 0.4799)
Pd (0.6451, 0.1250, 0.0201)
Pd (0.8750, 0.8951, 0.5201)

***

Entry 18:
Density functional theory data (PBE) for a relaxed Tc3HgPd crystal.

The formation energy comes out at 2.02 eV/atom. As for the volume: 22.76 A^3/atom. As for the space-group type: Pm-3m.

a = 4.8463 Å, b = 4.8463 Å, c = 4.8463 Å
α = 90.00°, β = 90.00°, γ = 90.00°
Element x y z (fractional)
Tc (0.0000, 0.0000, 0.5000)
Tc (0.0000, 0.5000, 0.0000)
Tc (0.5000, 0.0000, 0.0000)
Hg (0.5000, 0.5000, 0.5000)
Pd (0.0000, 0.0000, 0.0000)

***

Entry 19:
Density functional theory data (PBE) for a relaxed Tc2Hg2Pd crystal.

The formation energy comes out at 0.68 eV/atom. As for the volume: 19.16 A^3/atom. As for the space-group type: P4/mbm.

a = 7.9673 Å, b = 7.9673 Å, c = 3.0184 Å
α = 90.00°, β = 90.00°, γ = 90.00°
Element x y z (fractional)
Tc (0.0977, 0.4023, 0.0000)
Tc (0.4023, 0.9023, 0.0000)
Tc (0.5977, 0.0977, 0.0000)
Tc (0.9023, 0.5977, 0.0000)
Hg (0.1944, 0.6944, 0.5000)
Hg (0.3056, 0.1944, 0.5000)
Hg (0.6944, 0.8056, 0.5000)
Hg (0.8056, 0.3056, 0.5000)
Pd (0.0000, 0.0000, 0.5000)
Pd (0.5000, 0.5000, 0.5000)

***

Entry 20:
Density functional theory data (PBE) for a relaxed Tc2Hg2Pd crystal.

The formation energy comes out at 0.50 eV/atom. As for the volume: 18.88 A^3/atom. As for the space-group type: I4/mmm.

a = 8.1182 Å, b = 8.1182 Å, c = 8.1182 Å
α = 155.14°, β = 155.14°, γ = 35.44°
Element x y z (fractional)
Tc (0.2500, 0.7500, 0.5000)
Tc (0.7500, 0.2500, 0.5000)
Hg (0.0967, 0.0967, 0.0000)
Hg (0.9033, 0.9033, 0.0000)
Pd (0.5000, 0.5000, 0.0000)

***

Entry 21:
Density functional theory data (PBE) for a relaxed TcHgPd6 crystal.

The formation energy comes out at -0.03 eV/atom. As for the volume: 15.91 A^3/atom. As for the space-group type: P4/mmm.

a = 3.9819 Å, b = 3.9819 Å, c = 8.0255 Å
α = 90.00°, β = 90.00°, γ = 90.00°
Element x y z (fractional)
Tc (0.0000, 0.0000, 0.0000)
Hg (0.0000, 0.0000, 0.5000)
Pd (0.0000, 0.5000, 0.2352)
Pd (0.0000, 0.5000, 0.7648)
Pd (0.5000, 0.0000, 0.2352)
Pd (0.5000, 0.0000, 0.7648)
Pd (0.5000, 0.5000, 0.0000)
Pd (0.5000, 0.5000, 0.5000)

***

Entry 22:
Density functional theory data (PBE) for a relaxed Hg3TePd12 crystal.

For the uncorrected formation energy, the calculation gives -0.1387 eV per atom. As for the volume: 16.72 A^3/atom. As for the space-group type: P4/mmm.

a = 4.0514 Å, b = 4.0514 Å, c = 16.3011 Å
α = 90.00°, β = 90.00°, γ = 90.00°
Element x y z (fractional)
Hg (0.0000, 0.0000, 0.0000)
Hg (0.0000, 0.0000, 0.2486)
Hg (0.0000, 0.0000, 0.7514)
Te (0.0000, 0.0000, 0.5000)
Pd (0.0000, 0.5000, 0.1244)
Pd (0.0000, 0.5000, 0.3764)
Pd (0.0000, 0.5000, 0.6236)
Pd (0.0000, 0.5000, 0.8756)
Pd (0.5000, 0.0000, 0.1244)
Pd (0.5000, 0.0000, 0.3764)
Pd (0.5000, 0.0000, 0.6236)
Pd (0.5000, 0.0000, 0.8756)
Pd (0.5000, 0.5000, 0.0000)
Pd (0.5000, 0.5000, 0.2508)
Pd (0.5000, 0.5000, 0.5000)
Pd (0.5000, 0.5000, 0.7492)